No. 1
# Pm12Co5Sn

A relaxed Pm12Co5Sn crystal (PBE, Alexandria).

## Properties
* E_form: -4.41 kcal/mol of atoms
* electronic total energy: -100.0 eV for the cell shown
* total magnetic moment: 0.0 Bohr magnetons per cell
* mass density: 7495 kg/m³

Structure (POSCAR):
```
Pm12Co5Sn
1.0
-4.852 4.883 5.034
4.852 -4.883 5.034
4.852 4.883 -5.034
Pm Co Sn
12 5 1
direct
0.010 0.200 0.809
0.187 0.299 0.486
0.187 0.701 0.888
0.314 0.008 0.693
0.314 0.621 0.307
0.391 0.200 0.191
0.609 0.800 0.809
0.686 0.379 0.693
0.686 0.992 0.307
0.813 0.299 0.112
0.813 0.701 0.514
0.990 0.800 0.191
0.000 0.000 0.000
0.111 0.611 0.500
0.381 0.000 0.381
0.619 0.000 0.619
0.889 0.389 0.500
0.500 0.500 0.000
```



No. 2
# SrMgNi2

A relaxed SrMgNi2 crystal (PBE, Alexandria).

## Properties
* E_form: 4.08 kcal/mol of atoms
* electronic total energy: -14.1 eV for the cell shown
* total magnetic moment: 0.0 Bohr magnetons per cell
* mass density: 4991 kg/m³

Structure (POSCAR):
```
SrMgNi2
1.0
-1.612 2.366 5.002
1.612 -2.366 5.002
1.612 2.366 -5.002
Sr Mg Ni
1 1 2
direct
0.000 0.000 0.000
0.294 0.794 0.500
0.539 0.539 0.000
0.721 0.221 0.500
```



No. 3
# Ce2Dy2ZnGa4

A relaxed Ce2Dy2ZnGa4 crystal (PBE, Alexandria).

## Properties
* E_form: -5.53 kcal/mol of atoms
* electronic total energy: -36.6 eV for the cell shown
* total magnetic moment: 2.0 Bohr magnetons per cell
* mass density: 7338 kg/m³

Structure (POSCAR):
```
Ce2Dy2ZnGa4
1.0
-3.577 3.577 4.198
3.577 -3.577 4.198
3.577 3.577 -4.198
Ce Dy Zn Ga
2 2 1 4
direct
0.164 0.164 0.000
0.836 0.836 0.000
0.250 0.750 0.500
0.750 0.250 0.500
0.500 0.500 0.000
0.264 0.264 0.529
0.264 0.736 0.000
0.736 0.264 0.000
0.736 0.736 0.471
```



No. 4
# Si2TcAg

A relaxed Si2TcAg crystal (PBE, Alexandria).

## Properties
* electronic total energy: -23.3 eV for the cell shown
* total magnetic moment: 0.0 Bohr magnetons per cell
* formation energy from raw total energies: 183.8 meV per atom
* mass density: 7505 kg/m³

Structure (POSCAR):
```
Si2TcAg
1.0
-1.993 1.993 3.649
1.993 -1.993 3.649
1.993 1.993 -3.649
Si Tc Ag
2 1 1
direct
0.250 0.750 0.500
0.750 0.250 0.500
0.000 0.000 0.000
0.500 0.500 0.000
```



No. 5
# CuNi2As

A relaxed CuNi2As crystal (PBE, Alexandria).

## Properties
* E_form: 0.29 kcal/mol of atoms
* electronic total energy: -20.3 eV for the cell shown
* total magnetic moment: 0.0 Bohr magnetons per cell
* mass density: 8647 kg/m³

Structure (POSCAR):
```
CuNi2As
1.0
0.000 2.907 2.907
2.907 0.000 2.907
2.907 2.907 0.000
Cu Ni As
1 2 1
direct
0.000 0.000 0.000
0.500 0.500 0.500
0.750 0.750 0.750
0.250 0.250 0.250
```



No. 6
# PrScZnGe

A relaxed PrScZnGe crystal (PBE, Alexandria).

## Properties
* E_form: -11.13 kcal/mol of atoms
* electronic total energy: -18.9 eV for the cell shown
* total magnetic moment: 0.0 Bohr magnetons per cell
* mass density: 6104 kg/m³

Structure (POSCAR):
```
PrScZnGe
1.0
0.000 3.532 3.532
3.532 0.000 3.532
3.532 3.532 0.000
Pr Sc Zn Ge
1 1 1 1
direct
0.000 0.000 0.000
0.500 0.500 0.500
0.250 0.250 0.250
0.750 0.750 0.750
```



No. 7
# Tl2Cd2SnHg7

A relaxed Tl2Cd2SnHg7 crystal (PBE, Alexandria).

## Properties
* E_form: 1.00 kcal/mol of atoms
* electronic total energy: -12.2 eV for the cell shown
* total magnetic moment: 0.0 Bohr magnetons per cell
* mass density: 10858 kg/m³

Structure (POSCAR):
```
Tl2Cd2SnHg7
1.0
3.200 -3.192 0.000
3.200 3.192 0.000
-0.135 0.000 16.138
Tl Cd Sn Hg
2 2 1 7
direct
0.141 0.141 0.342
0.859 0.859 0.658
0.369 0.369 0.711
0.631 0.631 0.289
0.000 0.000 0.000
0.120 0.616 0.161
0.273 0.273 0.531
0.384 0.880 0.839
0.500 0.500 0.000
0.616 0.120 0.161
0.727 0.727 0.469
0.880 0.384 0.839
```



No. 8
# Fe2GeHPd

A relaxed Fe2GeHPd crystal (PBE, Alexandria).

## Properties
* electronic total energy: -30.3 eV for the cell shown
* total magnetic moment: 4.6 Bohr magnetons per cell
* mass density: 8688 kg/m³

Structure (POSCAR):
```
Fe2GeHPd
1.0
3.696 0.000 0.000
0.000 3.696 0.000
0.000 0.000 4.083
Fe Ge H Pd
2 1 1 1
direct
0.000 0.500 0.000
0.500 0.000 0.000
0.000 0.000 0.500
0.500 0.500 0.000
0.500 0.500 0.500
```



No. 9
# NbRe2Mo

A relaxed NbRe2Mo crystal (PBE, Alexandria).

## Properties
* E_form: -1.62 kcal/mol of atoms
* electronic total energy: -46.1 eV for the cell shown
* total magnetic moment: 0.0 Bohr magnetons per cell
* mass density: 14611 kg/m³

Structure (POSCAR):
```
NbRe2Mo
1.0
0.000 3.171 3.171
3.171 0.000 3.171
3.171 3.171 0.000
Nb Re Mo
1 2 1
direct
0.000 0.000 0.000
0.250 0.250 0.250
0.750 0.750 0.750
0.500 0.500 0.500
```



No. 10
# Ac2ErPb9

A relaxed Ac2ErPb9 crystal (PBE, Alexandria).

## Properties
* E_form: -8.17 kcal/mol of atoms
* electronic total energy: -50.4 eV for the cell shown
* total magnetic moment: 0.0 Bohr magnetons per cell
* mass density: 11015 kg/m³

Structure (POSCAR):
```
Ac2ErPb9
1.0
5.022 0.000 0.000
0.000 5.022 0.000
0.000 0.000 14.860
Ac Er Pb
2 1 9
direct
0.000 0.000 0.172
0.000 0.000 0.828
0.000 0.000 0.500
0.000 0.500 0.000
0.000 0.500 0.345
0.000 0.500 0.655
0.500 0.000 0.000
0.500 0.000 0.345
0.500 0.000 0.655
0.500 0.500 0.172
0.500 0.500 0.500
0.500 0.500 0.828
```



No. 11
# NdDyTc

A relaxed NdDyTc crystal (PBE, Alexandria).

## Properties
* E_form: 6.69 kcal/mol of atoms
* electronic total energy: -37.7 eV for the cell shown
* total magnetic moment: 0.0 Bohr magnetons per cell
* mass density: 8359 kg/m³

Structure (POSCAR):
```
NdDyTc
1.0
-1.690 3.037 7.836
1.690 -3.037 7.836
1.690 3.037 -7.836
Nd Dy Tc
2 2 2
direct
0.114 0.114 0.000
0.886 0.886 0.000
0.329 0.329 0.000
0.671 0.671 0.000
0.308 0.500 0.808
0.692 0.500 0.192
```



No. 12
# NdSm5Se6

A relaxed NdSm5Se6 crystal (PBE, Alexandria).

## Properties
* electronic total energy: -71.1 eV for the cell shown
* total magnetic moment: 0.0 Bohr magnetons per cell
* formation energy from raw total energies: -1822.8 meV per atom
* mass density: 7331 kg/m³

Structure (POSCAR):
```
NdSm5Se6
1.0
3.621 -6.289 0.000
3.621 6.289 0.000
-2.429 0.000 6.812
Nd Sm Se
1 5 6
direct
0.000 0.000 0.000
0.164 0.836 0.500
0.334 0.666 0.000
0.500 0.500 0.500
0.666 0.334 0.000
0.836 0.164 0.500
0.084 0.421 0.252
0.253 0.253 0.750
0.421 0.084 0.252
0.579 0.916 0.748
0.747 0.747 0.250
0.916 0.579 0.748
```



no.,volume (Å³/cell)
1,477
2,76
3,215
4,58
5,49
6,88
7,330
8,56
9,64
10,375
11,161
12,310